DFT (GGA-PBE) results for a relaxed As5Au4 crystal.

Computed properties:
VASP energy, eV/atom: -3.5639
Mass density, Mg/m³: 9.5

The structure in POSCAR format:
```
As5Au4
1.0
5.2852 0.0000 0.0000
-2.6426 4.5772 0.0000
0.0000 0.0000 8.3763
Au As
4 5
direct
0.0000 0.0000 0.0000
0.5000 0.0000 0.5000
0.0000 0.5000 0.5000
0.5000 0.5000 0.5000
0.3333 0.6667 0.8537
0.3333 0.6667 0.1463
0.0000 0.0000 0.5000
0.6667 0.3333 0.1463
0.6667 0.3333 0.8537
```